First-principles (GGA-PBE) data for an optimized crystal structure of Tb3ZnRu, as listed in Alexandria via LeMat-Bulk.

* offset from the most stable computed form: 0 meV per atom
* ρ: 8.838 Mg/m³
* calculated formation energy: -0.332 eV per atom
* total moment: 0.00 μB per cell

Cell: 6.4064 9.5946 15.7293 Å, 90.00 90.00 90.00°
Space group Fmmm (No. 69)
Symmetry-distinct sites (fractional):
Tb  0.0000  0.0000  0.1958 [8 per cell]
Tb  0.0000  0.1849  0.3941 [16 per cell]
Zn  0.1934  0.0000  0.0000 [8 per cell]
Ru  0.2500  0.2500  0.2500 [8 per cell]